Entry i
VASP calculation (PBE) on a geometry-optimized La2TlSe structure.

Output
Mass density   8.17 g/cm³

```
data_La2TlSe
_space_group_name_H-M_alt 'F -4 3 m'
_space_group_IT_number 216
_space_group_name_Hall 'F -4 2 3'
_cell_length_a 7.698
_cell_length_b 7.698
_cell_length_c 7.698
_cell_angle_alpha 90.00
_cell_angle_beta 90.00
_cell_angle_gamma 90.00
loop_
_atom_site_label
_atom_site_type_symbol
_atom_site_fract_x
_atom_site_fract_y
_atom_site_fract_z
_atom_site_occupancy
La1 La 0.000 0.000 0.000 1
La2 La 0.250 0.250 0.250 1
Tl1 Tl 0.000 0.000 0.500 1
Se1 Se 0.250 0.250 0.750 1
```


Entry ii
VASP calculation (PBE) on a geometry-optimized La2TlSe structure.

Output
Mass density   7.26 g/cm³

```
data_La2TlSe
_space_group_name_H-M_alt 'R 3 m'
_space_group_IT_number 160
_space_group_name_Hall 'R 3 -2"'
_cell_length_a 4.1544
_cell_length_b 4.1544
_cell_length_c 25.7475
_cell_angle_alpha 90.00
_cell_angle_beta 90.00
_cell_angle_gamma 120.00
loop_
_atom_site_label
_atom_site_type_symbol
_atom_site_fract_x
_atom_site_fract_y
_atom_site_fract_z
_atom_site_occupancy
La1 La 0.0000 0.0000 0.0000 1
La2 La 0.0000 0.0000 0.1914 1
Tl1 Tl 0.0000 0.0000 0.4285 1
Se1 Se 0.0000 0.0000 0.5964 1
```


Entry iii
VASP calculation (PBE) on a geometry-optimized La2TlSe structure.

Output
Mass density   7.29 g/cm³

```
data_La2TlSe
_space_group_name_H-M_alt 'C 1 2/m 1'
_space_group_IT_number 12
_cell_length_a 7.410
_cell_length_b 4.273
_cell_length_c 8.444
_cell_angle_alpha 90.00
_cell_angle_beta 106.93
_cell_angle_gamma 90.00
loop_
_space_group_symop_operation_xyz
'x,y,z'
'-x,-y,-z'
'-x,y,-z'
'x,-y,z'
'x+1/2,y+1/2,z'
'-x+1/2,-y+1/2,-z'
'-x+1/2,y+1/2,-z'
'x+1/2,-y+1/2,z'
loop_
_atom_site_label
_atom_site_type_symbol
_atom_site_fract_x
_atom_site_fract_y
_atom_site_fract_z
_atom_site_occupancy
La1 La 0.241 0.000 0.223 1
Tl1 Tl 0.000 0.000 0.500 1
Se1 Se 0.000 0.500 0.000 1
```


Entry iv
VASP calculation (PBE) on a geometry-optimized La2TlSe structure.

Output
Mass density   7.25 g/cm³

```
data_La2TlSe
_space_group_name_H-M_alt 'I m m 2'
_space_group_IT_number 44
_cell_length_a 3.879
_cell_length_b 4.004
_cell_length_c 16.540
_cell_angle_alpha 90.00
_cell_angle_beta 90.00
_cell_angle_gamma 90.00
loop_
_space_group_symop_operation_xyz
'x,y,z'
'-x,-y,z'
'-x,y,z'
'x,-y,z'
'x+1/2,y+1/2,z+1/2'
'-x+1/2,-y+1/2,z+1/2'
'-x+1/2,y+1/2,z+1/2'
'x+1/2,-y+1/2,z+1/2'
loop_
_atom_site_label
_atom_site_type_symbol
_atom_site_fract_x
_atom_site_fract_y
_atom_site_fract_z
_atom_site_occupancy
La1 La 0.000 0.000 0.000 1
La2 La 0.000 0.500 0.222 1
Tl1 Tl 0.000 0.500 0.837 1
Se1 Se 0.000 0.000 0.578 1
```


What are the relative energies? In meV/atom: entry i 836; entry ii 62; entry iii 0; entry iv 142.


Entry i
VASP calculation (PBE) on a geometry-optimized La2TlSe structure.

Output
Mass density   7.02 g/cm³

```
data_La2TlSe
_space_group_name_H-M_alt 'R 3 m'
_space_group_IT_number 160
_space_group_name_Hall 'R 3 -2"'
_cell_length_a 3.9750
_cell_length_b 3.9750
_cell_length_c 29.0889
_cell_angle_alpha 90.00
_cell_angle_beta 90.00
_cell_angle_gamma 120.00
loop_
_atom_site_label
_atom_site_type_symbol
_atom_site_fract_x
_atom_site_fract_y
_atom_site_fract_z
_atom_site_occupancy
La1 La 0.0000 0.0000 0.0000 1
La2 La 0.0000 0.0000 0.2333 1
Tl1 Tl 0.0000 0.0000 0.7594 1
Se1 Se 0.0000 0.0000 0.4999 1
```


Entry ii
VASP calculation (PBE) on a geometry-optimized La2TlSe structure.

Output
Mass density   7.87 g/cm³

```
data_La2TlSe
_space_group_name_H-M_alt 'I -4 m 2'
_space_group_IT_number 119
_space_group_name_Hall 'I -4 -2'
_cell_length_a 4.519
_cell_length_b 4.519
_cell_length_c 11.602
_cell_angle_alpha 90.00
_cell_angle_beta 90.00
_cell_angle_gamma 90.00
loop_
_atom_site_label
_atom_site_type_symbol
_atom_site_fract_x
_atom_site_fract_y
_atom_site_fract_z
_atom_site_occupancy
La1 La 0.000 0.000 0.000 1
La2 La 0.000 0.500 0.250 1
Tl1 Tl 0.000 0.000 0.500 1
Se1 Se 0.000 0.500 0.750 1
```


What are the relative energies? In meV/atom: entry i 285; entry ii 0.


Entry i
VASP calculation (PBE) on a geometry-optimized LaTmSe2 structure.

Output
Mass density   7.47 g/cm³

```
data_LaTmSe2
_space_group_name_H-M_alt 'R 3 m'
_space_group_IT_number 160
_space_group_name_Hall 'R 3 -2"'
_cell_length_a 4.0625
_cell_length_b 4.0625
_cell_length_c 21.7358
_cell_angle_alpha 90.00
_cell_angle_beta 90.00
_cell_angle_gamma 120.00
loop_
_atom_site_label
_atom_site_type_symbol
_atom_site_fract_x
_atom_site_fract_y
_atom_site_fract_z
_atom_site_occupancy
La1 La 0.0000 0.0000 0.0000 1
Tm1 Tm 0.0000 0.0000 0.8241 1
Se1 Se 0.0000 0.0000 0.2370 1
Se2 Se 0.0000 0.0000 0.4208 1
```


Entry ii
VASP calculation (PBE) on a geometry-optimized LaTmSe2 structure.

Output
Mass density   7.58 g/cm³

```
data_LaTmSe2
_space_group_name_H-M_alt 'R -3 m'
_space_group_IT_number 166
_space_group_name_Hall '-R 3 2"'
_cell_length_a 4.1005
_cell_length_b 4.1005
_cell_length_c 21.0330
_cell_angle_alpha 90.00
_cell_angle_beta 90.00
_cell_angle_gamma 120.00
loop_
_atom_site_label
_atom_site_type_symbol
_atom_site_fract_x
_atom_site_fract_y
_atom_site_fract_z
_atom_site_occupancy
La1 La 0.0000 0.0000 0.0000 1
Tm1 Tm 0.0000 0.0000 0.5000 1
Se1 Se 0.0000 0.0000 0.2415 1
```


Entry iii
VASP calculation (PBE) on a geometry-optimized LaTmSe2 structure.

Output
Mass density   5.50 g/cm³

```
data_LaTmSe2
_space_group_name_H-M_alt 'R -3 m'
_space_group_IT_number 166
_space_group_name_Hall '-R 3 2"'
_cell_length_a 4.2913
_cell_length_b 4.2913
_cell_length_c 26.4657
_cell_angle_alpha 90.00
_cell_angle_beta 90.00
_cell_angle_gamma 120.00
loop_
_atom_site_label
_atom_site_type_symbol
_atom_site_fract_x
_atom_site_fract_y
_atom_site_fract_z
_atom_site_occupancy
La1 La 0.0000 0.0000 0.0000 1
Tm1 Tm 0.0000 0.0000 0.5000 1
Se1 Se 0.0000 0.0000 0.3967 1
```


What are the relative energies? In meV/atom: entry i 31; entry ii 0; entry iii 480.